Compound: La2H2Ru
Source: the Alexandria database
Functional: GGA-PBEsol
Structure: relaxed

Calculated values
Electronic total energy (eV per atom): -5.84
Mass density (g/cm³): 7.5

Cell and atoms, written as POSCAR:
```
La2H2Ru
1.0
-0.922 2.706 -2.101
0.211 -2.127 -2.832
-6.088 -1.912 3.206
Ru La H
1 2 2
Direct
0.000 0.000 0.000 Ru
0.370 0.370 0.741 La
0.630 0.630 0.259 La
0.250 0.750 0.500 H
0.750 0.250 0.500 H
```